Material: Tm3CoBi
Method: DFT, PBE-GGA
State: relaxed

a = 4.946 Å, b = 5.282 Å, c = 9.951 Å
α = 90.00°, β = 90.05°, γ = 90.00°
Space group P2_1/m (No. 11)
Unique sites:
1 Tm 0.001 0.250 0.118 (multiplicity 2)
2 Tm 0.001 0.750 0.342 (multiplicity 2)
3 Tm 0.499 0.750 0.632 (multiplicity 2)
4 Co 0.001 0.250 0.388 (multiplicity 2)
5 Bi 0.500 0.250 0.870 (multiplicity 2)

## Properties
Energy above the most stable polymorph in this dataset = 24 meV/atom
Mass density = 9.9 Mg/m³
Formation energy from the elements = -0.333 eV per atom